Computed, not measured: an optimized crystal structure of Dy4IrBr5 at the GGA-PBE level of DFT.

```
data_Dy4IrBr5
_chemical_formula_sum 'Dy4 Ir1 Br5'
_symmetry_space_group_name_H-M 'P 1'
_symmetry_Int_Tables_number 1
_cell_length_a 3.999
_cell_length_b 8.530
_cell_length_c 9.687
_cell_angle_alpha 102.13
_cell_angle_beta 101.91
_cell_angle_gamma 90.00
loop_
_symmetry_equiv_pos_as_xyz
'x,y,z'
loop_
_atom_site_label
_atom_site_fract_x
_atom_site_fract_y
_atom_site_fract_z
Dy1 0.352 0.924 0.705
Dy2 0.997 0.785 0.994
Dy3 0.648 0.076 0.295
Dy4 0.003 0.215 0.006
Ir1 0.500 0.000 0.000
Br1 0.831 0.670 0.661
Br2 0.820 0.154 0.641
Br3 0.180 0.846 0.359
Br4 0.500 0.500 0.000
Br5 0.169 0.330 0.339
```

Computed properties:
The crystal system is monoclinic. The total magnetization comes out at 0.00 μB/cell. The calculation puts the calculated total energy at -0.1850 Ha/atom. The calculation puts the uncorrected formation energy at -1.47 eV/atom.



Computed, not measured: an optimized crystal structure of BaZnSb2Te at the GGA-PBE level of DFT.

```
data_BaZnSb2Te
_chemical_formula_sum 'Ba1 Zn1 Sb2 Te1'
_symmetry_space_group_name_H-M 'P 1'
_symmetry_Int_Tables_number 1
_cell_length_a 6.522
_cell_length_b 6.522
_cell_length_c 6.455
_cell_angle_alpha 90.00
_cell_angle_beta 90.00
_cell_angle_gamma 90.00
loop_
_symmetry_equiv_pos_as_xyz
'x,y,z'
loop_
_atom_site_label
_atom_site_fract_x
_atom_site_fract_y
_atom_site_fract_z
Sb1 0.000 0.500 0.000
Sb2 0.500 0.000 0.000
Zn1 0.500 0.500 0.500
Te1 0.000 0.000 0.500
Ba1 0.000 0.000 0.000
```

Computed properties:
The crystal system is tetragonal. The total magnetization comes out at 0.99 μB/cell. The calculation puts the energy relative to the lowest polymorph listed for this composition at 1.076 eV per atom. The calculation puts the calculated total energy at -0.0781 Ha/atom. The calculation puts the uncorrected formation energy at 0.79 eV/atom.



Computed, not measured: an optimized crystal structure of CrIn2P at the GGA-PBE level of DFT.

```
data_CrIn2P
_chemical_formula_sum 'Cr1 In2 P1'
_symmetry_space_group_name_H-M 'P 1'
_symmetry_Int_Tables_number 1
_cell_length_a 5.368
_cell_length_b 5.368
_cell_length_c 5.368
_cell_angle_alpha 134.09
_cell_angle_beta 134.09
_cell_angle_gamma 66.95
loop_
_symmetry_equiv_pos_as_xyz
'x,y,z'
loop_
_atom_site_label
_atom_site_fract_x
_atom_site_fract_y
_atom_site_fract_z
Cr1 0.750 0.250 0.500
In1 0.000 0.000 0.000
In2 0.250 0.750 0.500
P1 0.500 0.500 0.000
```

Computed properties:
The crystal system is tetragonal. The total magnetization comes out at 3.48 μB/cell. The formation energy from the elements is 0.3619 eV per atom. The calculation puts the calculated total energy at -0.1751 Ha/atom.



Computed, not measured: an optimized crystal structure of Rb3LiNi at the GGA-PBE level of DFT.

```
data_Rb3LiNi
_chemical_formula_sum 'Rb3 Li1 Ni1'
_symmetry_space_group_name_H-M 'P 1'
_symmetry_Int_Tables_number 1
_cell_length_a 6.554
_cell_length_b 6.554
_cell_length_c 6.554
_cell_angle_alpha 90.00
_cell_angle_beta 90.00
_cell_angle_gamma 90.00
loop_
_symmetry_equiv_pos_as_xyz
'x,y,z'
loop_
_atom_site_label
_atom_site_fract_x
_atom_site_fract_y
_atom_site_fract_z
Ni1 0.000 0.000 0.000
Rb1 0.000 0.500 0.000
Rb2 0.000 0.000 0.500
Rb3 0.500 0.000 0.000
Li1 0.500 0.500 0.500
```

Computed properties:
The crystal system is cubic. The total magnetization comes out at 0.05 μB/cell. The calculation puts the energy relative to the lowest polymorph listed for this composition at 0.000 eV per atom. The formation energy from the elements is 0.5352 eV per atom. The calculation puts the calculated total energy at -0.0582 Ha/atom.



Computed, not measured: an optimized crystal structure of CdPt at the GGA-PBE level of DFT.

```
data_CdPt
_chemical_formula_sum 'Cd2 Pt2'
_symmetry_space_group_name_H-M 'P 1'
_symmetry_Int_Tables_number 1
_cell_length_a 2.943
_cell_length_b 2.943
_cell_length_c 8.334
_cell_angle_alpha 90.00
_cell_angle_beta 90.00
_cell_angle_gamma 90.00
loop_
_symmetry_equiv_pos_as_xyz
'x,y,z'
loop_
_atom_site_label
_atom_site_fract_x
_atom_site_fract_y
_atom_site_fract_z
Pt1 0.250 0.250 0.615
Pt2 0.750 0.750 0.385
Cd1 0.250 0.250 0.148
Cd2 0.750 0.750 0.852
```

Computed properties:
The crystal system is tetragonal. The total magnetization comes out at 0.00 μB/cell. The formation energy from the elements is -0.1316 eV per atom. The calculation puts the calculated total energy at -0.1326 Ha/atom.



Computed, not measured: an optimized crystal structure of Mg2ScSi at the GGA-PBE level of DFT.

```
data_Mg2ScSi
_chemical_formula_sum 'Mg2 Sc1 Si1'
_symmetry_space_group_name_H-M 'P 1'
_symmetry_Int_Tables_number 1
_cell_length_a 4.135
_cell_length_b 4.135
_cell_length_c 4.441
_cell_angle_alpha 90.00
_cell_angle_beta 90.00
_cell_angle_gamma 90.00
loop_
_symmetry_equiv_pos_as_xyz
'x,y,z'
loop_
_atom_site_label
_atom_site_fract_x
_atom_site_fract_y
_atom_site_fract_z
Mg1 0.000 0.000 0.000
Mg2 0.500 0.500 0.000
Sc1 0.500 0.000 0.500
Si1 0.000 0.500 0.500
```

Computed properties:
The crystal system is tetragonal. The total magnetization comes out at 0.00 μB/cell. The calculation puts the calculated total energy at -0.1482 Ha/atom. The calculation puts the uncorrected formation energy at -0.30 eV/atom.



Computed, not measured: an optimized crystal structure of BaPa2RuN5 at the GGA-PBE level of DFT.

```
data_BaPa2RuN5
_chemical_formula_sum 'Ba2 Pa4 Ru2 N10'
_symmetry_space_group_name_H-M 'P 1'
_symmetry_Int_Tables_number 1
_cell_length_a 6.702
_cell_length_b 6.702
_cell_length_c 7.584
_cell_angle_alpha 116.22
_cell_angle_beta 116.22
_cell_angle_gamma 90.00
loop_
_symmetry_equiv_pos_as_xyz
'x,y,z'
loop_
_atom_site_label
_atom_site_fract_x
_atom_site_fract_y
_atom_site_fract_z
Ba1 0.250 0.250 0.500
Ba2 0.750 0.750 0.500
Pa1 0.186 0.314 0.000
Pa2 0.686 0.186 0.000
Pa3 0.314 0.814 0.000
Pa4 0.814 0.686 0.000
Ru1 0.250 0.750 0.500
Ru2 0.750 0.250 0.500
N1 0.988 0.488 0.249
N2 0.739 0.239 0.751
N3 0.012 0.512 0.751
N4 0.239 0.012 0.751
N5 0.512 0.739 0.751
N6 0.761 0.988 0.249
N7 0.488 0.261 0.249
N8 0.261 0.761 0.249
N9 0.500 0.500 0.000
N10 0.000 0.000 0.000
```

Computed properties:
The crystal system is tetragonal. The total magnetization comes out at 0.00 μB/cell. The calculation puts the calculated total energy at -0.3304 Ha/atom. The calculation puts the uncorrected formation energy at -1.01 eV/atom.



Computed, not measured: an optimized crystal structure of UTlBS4 at the GGA-PBE level of DFT.

```
data_UTlBS4
_chemical_formula_sum 'U2 Tl2 B2 S8'
_symmetry_space_group_name_H-M 'P 1'
_symmetry_Int_Tables_number 1
_cell_length_a 6.001
_cell_length_b 6.243
_cell_length_c 8.938
_cell_angle_alpha 90.00
_cell_angle_beta 108.49
_cell_angle_gamma 90.00
loop_
_symmetry_equiv_pos_as_xyz
'x,y,z'
loop_
_atom_site_label
_atom_site_fract_x
_atom_site_fract_y
_atom_site_fract_z
U1 0.761 0.750 0.447
U2 0.239 0.250 0.553
Tl1 0.745 0.750 0.932
Tl2 0.255 0.250 0.068
B1 0.206 0.750 0.327
B2 0.794 0.250 0.673
S1 0.998 0.497 0.710
S2 0.002 0.997 0.290
S3 0.002 0.503 0.290
S4 0.998 0.003 0.710
S5 0.390 0.750 0.186
S6 0.610 0.250 0.814
S7 0.386 0.750 0.554
S8 0.614 0.250 0.446
```

Computed properties:
The crystal system is monoclinic. The total magnetization comes out at 4.00 μB/cell. The calculation puts the calculated total energy at -0.2239 Ha/atom. The calculation puts the uncorrected formation energy at -0.83 eV/atom.